A relaxed CsPmZnF6 crystal. Source: Alexandria, functional GGA-PBE.

Structure (CIF):
```
data_CsPmZnF6
_space_group_name_H-M_alt 'I m m a'
_space_group_IT_number 74
_space_group_name_Hall '-I 2b 2'
_cell_length_a 7.614
_cell_length_b 7.958
_cell_length_c 10.465
_cell_angle_alpha 90.00
_cell_angle_beta 90.00
_cell_angle_gamma 90.00
loop_
_atom_site_label
_atom_site_type_symbol
_atom_site_fract_x
_atom_site_fract_y
_atom_site_fract_z
Cs1 Cs 0.000 0.250 0.092
Pm1 Pm 0.000 0.000 0.500
Zn1 Zn 0.250 0.250 0.750
F1 F 0.000 0.250 0.390
F2 F 0.000 0.250 0.666
F3 F 0.241 0.061 0.884
```

Output
ΔE_f (raw)   -3.192 eV/atom